This record from OQMD via LeMat-Bulk describes LuBeW2 after structural relaxation. The functional is PBE.

POSCAR file:
```
LuBeW2
1.0
0.000 3.214 3.214
3.214 0.000 3.214
3.214 3.214 0.000
Lu Be W
1 1 2
direct
0.000 0.000 0.000 Lu
0.750 0.750 0.750 Be
0.250 0.250 0.250 W
0.500 0.500 0.500 W
```

Values from the calculation:
Symmetry: F-43m
M_tot: 0.003 μB/f.u.
Uncorrected energy: -8.196 eV/atom